one.
! CePrTm (GGA-PBE, optimized geometry); values from VASP
&SYSTEM
  ibrav = 0, nat = 6, ntyp = 3
/
ATOMIC_SPECIES
Ce 140.12 Ce.upf
Pr 140.91 Pr.upf
Tm 168.93 Tm.upf
CELL_PARAMETERS angstrom
3.561 0.000 0.000
0.000 3.561 0.000
0.000 0.000 14.931
ATOMIC_POSITIONS angstrom
Ce 0.000 0.000 0.000
Ce 1.780 1.780 7.466
Pr 0.000 0.000 9.921
Pr 1.780 1.780 2.455
Tm 0.000 0.000 5.137
Tm 1.780 1.780 12.602
! Spin magnetization ... 0.06 μB/atom
! Calculated volume ... 31.55 A^3/atom
! DOS(E_F) ... 6.2 states/eV/f.u.

=====

two.
! CePrTm (GGA-PBE, optimized geometry); values from VASP
&SYSTEM
  ibrav = 0, nat = 6, ntyp = 3
/
ATOMIC_SPECIES
Ce 140.12 Ce.upf
Pr 140.91 Pr.upf
Tm 168.93 Tm.upf
CELL_PARAMETERS angstrom
3.532 0.000 0.000
0.002 6.111 0.000
0.002 0.044 8.767
ATOMIC_POSITIONS angstrom
Ce 0.880 1.493 4.354
Ce 2.655 4.662 4.413
Pr 0.888 3.582 1.562
Pr 2.647 2.573 7.206
Tm 0.884 5.638 7.287
Tm 2.651 0.517 1.480
! Spin magnetization ... 0.17 μB/atom
! Calculated volume ... 31.54 A^3/atom
! DOS(E_F) ... 6.3 states/eV/f.u.

=====

Most stable structure among those shown: two.